Record 1
A plane-wave DFT calculation with PBE was carried out for an optimized crystal structure of Ac2MgAlAg6.

Unit cell a=7.2614 b=7.1173 c=7.2581 alpha=78.64 beta=47.08 gamma=97.36
With the nearest neighbours (Å) after each atom.
Positions (direct):
1 Ag 0.2451 0.2488 0.4927  1 Al 2.65, 1 Mg 2.75, 4 Ag 2.87-2.92
2 Ag 0.2505 0.0957 0.1525  1 Al 2.73, 1 Mg 2.78, 4 Ag 2.86-2.87
3 Ag 0.7495 0.9043 0.8475  1 Al 2.73, 1 Mg 2.78, 4 Ag 2.86-2.87
4 Ag 0.7414 0.2490 0.9967  1 Al 2.65, 1 Mg 2.75, 4 Ag 2.86-2.92
5 Ag 0.2586 0.7510 0.0033  1 Al 2.65, 1 Mg 2.75, 4 Ag 2.86-2.92
6 Ag 0.7548 0.7512 0.5073  1 Al 2.65, 1 Mg 2.75, 4 Ag 2.87-2.92
7 Ac 0.2436 0.7048 0.5394  7 Ag 3.33-3.52
8 Ac 0.7564 0.2952 0.4605  7 Ag 3.33-3.52
9 Mg 0.0000 0.0000 0.0000  6 Ag 2.75-2.78
10 Al 0.5000 0.5000 0.0000  6 Ag 2.65-2.73

Properties
The calculation puts the total magnetic moment at 0.00 Bohr magnetons per cell. The value obtained for the volume is 25.07 A^3/atom. For the energy of formation, the calculation gives -0.16 eV per atom. The value obtained for the final energy is -32.3 eV per formula unit.


Record 2
A plane-wave DFT calculation with PBE was carried out for an optimized crystal structure of KMnSb.

Unit cell a=5.2393 b=5.2393 c=5.2393 alpha=60.00 beta=60.00 gamma=60.00
With the nearest neighbours (Å) after each atom.
Positions (direct):
1 K 0.7500 0.7500 0.7500  4 Mn 3.21, 4 Sb 3.21
2 Mn 0.0000 0.0000 0.0000  4 K 3.21
3 Sb 0.5000 0.5000 0.5000  4 K 3.21

Properties
The calculation puts the total magnetic moment at 5.00 Bohr magnetons per cell. As for the uncorrected formation energy: 915 meV/atom. The value obtained for the volume is 33.90 A^3/atom. The value obtained for the final energy is -11.6 eV per formula unit.


Record 3
A plane-wave DFT calculation with PBE was carried out for an optimized crystal structure of K2VTe.

Unit cell a=12.9684 b=12.9684 c=9.5365 alpha=47.16 beta=47.16 gamma=90.00
With the nearest neighbours (Å) after each atom.
Positions (direct):
1 K 0.8750 0.0494 0.7500  2 Te 3.45
2 K 0.3750 0.2006 0.7500  2 Te 3.45
3 K 0.7994 0.1250 0.2500  2 Te 3.45
4 K 0.9506 0.6250 0.2500  2 Te 3.45
5 Te 0.7500 0.2500 0.5000  2 V 2.62
6 Te 0.0000 0.0000 0.0000  2 V 2.62
7 V 0.2500 0.7500 0.5000  2 Te 2.62
8 V 0.5000 0.5000 0.0000  2 Te 2.62

Properties
The calculation puts the total magnetic moment at 8.26 Bohr magnetons per cell. As for the uncorrected formation energy: 99 meV/atom. The value obtained for the volume is 55.04 A^3/atom. The value obtained for the final energy is -14.1 eV per formula unit.


Record 4
A plane-wave DFT calculation with PBE was carried out for an optimized crystal structure of SmHoTeO6.

Unit cell a=5.5668 b=5.5668 c=9.7152 alpha=90.00 beta=90.00 gamma=120.00
With the nearest neighbours (Å) after each atom.
Positions (direct):
1 O 0.6244 0.6657 0.6371  1 Te 1.96
2 O 0.9588 0.3343 0.1371  1 Te 1.96
3 O 0.0412 0.3756 0.6371  1 Te 1.96
4 O 0.3756 0.3343 0.3629  1 Te 1.96
5 O 0.6657 0.6244 0.1371  1 Te 1.96
6 O 0.0412 0.6657 0.8629  1 Te 1.96
7 O 0.3343 0.3756 0.8629  1 Te 1.96
8 O 0.3343 0.9588 0.6371  1 Te 1.96
9 O 0.6657 0.0412 0.3629  1 Te 1.96
10 O 0.9588 0.6244 0.3629  1 Te 1.96
11 O 0.6244 0.9588 0.8629  1 Te 1.96
12 O 0.3756 0.0412 0.1371  1 Te 1.96
13 Sm 0.0000 0.0000 0.0000  6 O 2.39
14 Sm 0.0000 0.0000 0.5000  6 O 2.39
15 Ho 0.6667 0.3333 0.7500  6 O 2.26
16 Ho 0.3333 0.6667 0.2500  6 O 2.26
17 Te 0.3333 0.6667 0.7500  6 O 1.96
18 Te 0.6667 0.3333 0.2500  6 O 1.96

Properties
The calculation puts the total magnetic moment at 0.00 Bohr magnetons per cell. As for the uncorrected formation energy: -2452 meV/atom. The value obtained for the volume is 14.48 A^3/atom. The value obtained for the final energy is -64.3 eV per formula unit.


Record 5
A plane-wave DFT calculation with PBE was carried out for an optimized crystal structure of MgGa2Te2.

Unit cell a=3.8661 b=3.8661 c=8.8538 alpha=77.39 beta=77.39 gamma=90.00
With the nearest neighbours (Å) after each atom.
Positions (direct):
1 Te 0.5969 0.5969 0.8061  4 Mg 3.18, 4 Ga 3.22, 1 Te 3.27
2 Te 0.4031 0.4031 0.1939  4 Mg 3.18, 4 Ga 3.22, 1 Te 3.27
3 Ga 0.2500 0.7500 0.5000  4 Ga 2.73
4 Ga 0.7500 0.2500 0.5000  4 Ga 2.73
5 Mg 0.0000 0.0000 0.0000  8 Te 3.18

Properties
The calculation puts the total magnetic moment at 0.00 Bohr magnetons per cell. As for the uncorrected formation energy: -155 meV/atom. The value obtained for the volume is 25.17 A^3/atom. The value obtained for the final energy is -14.7 eV per formula unit.


Record 6
A plane-wave DFT calculation with PBE was carried out for an optimized crystal structure of Rb4Sm3AlTe8.

Unit cell a=9.0604 b=10.0284 c=9.0626 alpha=116.88 beta=119.99 gamma=90.00
With the nearest neighbours (Å) after each atom.
Positions (direct):
1 Te 0.7805 0.3074 0.5611  1 Al 2.94, 2 Sm 3.17
2 Te 0.7351 0.7053 0.4702  3 Sm 3.15
3 Te 0.2195 0.6926 0.4389  1 Al 2.94, 2 Sm 3.17
4 Te 0.7543 0.6923 0.9733  1 Al 2.94, 2 Sm 3.17
5 Te 0.2190 0.6923 0.9733  1 Al 2.94, 2 Sm 3.17
6 Te 0.2649 0.2947 0.5298  3 Sm 3.15
7 Te 0.2457 0.3077 0.0267  1 Al 2.94, 2 Sm 3.17
8 Te 0.7810 0.3077 0.0267  1 Al 2.94, 2 Sm 3.17
9 Rb 0.0000 0.0000 0.5000  6 Te 3.63-3.65
10 Rb 0.5000 0.0000 0.0000  6 Te 3.84
11 Rb 0.5000 0.0000 0.5000  6 Te 3.63-3.65
12 Rb 0.0000 0.0000 0.0000  6 Te 3.63-3.65
13 Al 0.0000 0.5000 0.0000  6 Te 2.94
14 Sm 0.5000 0.5000 0.0000  6 Te 3.15-3.17
15 Sm 0.0000 0.5000 0.5000  6 Te 3.15-3.17
16 Sm 0.5000 0.5000 0.5000  6 Te 3.15-3.17

Properties
The calculation puts the total magnetic moment at 0.00 Bohr magnetons per cell. As for the uncorrected formation energy: -1175 meV/atom. The value obtained for the volume is 38.02 A^3/atom. The value obtained for the final energy is -65.7 eV per formula unit.